A relaxed HfScRePt crystal. Source: Alexandria, functional PBE.

It has space group F-43m (No. 216), with a = 6.544 Å, b = 6.544 Å, c = 6.544 Å, α = 90.00°, β = 90.00° and γ = 90.00°. The asymmetric unit holds Hf at (0.000, 0.000, 0.000), Sc at (0.000, 0.000, 0.500), Re at (0.250, 0.250, 0.250) and Pt at (0.250, 0.250, 0.750).

The formation energy is -0.70 eV per atom. The value obtained for the density of states at the Fermi level is 3.6 states/eV/cell.

=====

A relaxed Tl2InAg crystal. Source: Alexandria, functional PBE.

It has space group F-43m (No. 216), with a = 7.534 Å, b = 7.534 Å, c = 7.534 Å, α = 90.00°, β = 90.00° and γ = 90.00°. The asymmetric unit holds Tl at (0.000, 0.000, 0.000), Tl at (0.250, 0.250, 0.250), In at (0.000, 0.000, 0.500) and Ag at (0.250, 0.250, 0.750).

The formation energy is 0.15 eV per atom. The value obtained for the density of states at the Fermi level is 9.2 states/eV/cell. The calculation puts the relative energy among the computed polymorphs at 104 meV per atom.

=====

A relaxed ScAlTe2 crystal. Source: Alexandria, functional PBE.

It has space group P2/m (No. 10), with a = 3.753 Å, b = 3.735 Å, c = 7.076 Å, α = 90.00°, β = 100.77° and γ = 90.00°. The asymmetric unit holds Sc at (0.000, 0.000, 0.000), Al at (0.000, 0.000, 0.500) and Te at (0.395, 0.500, 0.759).

The raw formation energy is -0.50 eV per atom. The value obtained for the density of states at the Fermi level is 2.1 states/eV/cell.

=====

A relaxed CaAcPrPb crystal. Source: Alexandria, functional PBE.

It has space group F-43m (No. 216), with a = 8.219 Å, b = 8.219 Å, c = 8.219 Å, α = 90.00°, β = 90.00° and γ = 90.00°. The asymmetric unit holds Ca at (0.000, 0.000, 0.000), Ac at (0.250, 0.250, 0.250), Pr at (0.000, 0.000, 0.500) and Pb at (0.250, 0.250, 0.750).

The formation energy is -0.06 eV per atom. The value obtained for the density of states at the Fermi level is 26.6 states/eV/cell.

=====

A relaxed K12Rb6Na crystal. Source: Alexandria, functional PBE.

It has space group R-3 (No. 148, hexagonal axes), with a = 20.6173 Å, b = 20.6173 Å, c = 11.7025 Å, α = 90.00°, β = 90.00° and γ = 120.00°. The asymmetric unit holds K at (0.0167, 0.8828, 0.1788), K at (0.0810, 0.5179, 0.1588), Rb at (0.0329, 0.7540, 0.8532) and Na at (0.0000, 0.0000, 0.5000).

The formation energy is 0.01 eV per atom. The value obtained for the density of states at the Fermi level is 37.4 states/eV/cell. The calculation puts the relative energy among the computed polymorphs at 0 meV per atom.

=====

A relaxed SmCo9Si2 crystal. Source: Alexandria, functional PBE.

It has space group I4_1/amd (No. 141, origin choice 2), with a = 9.699 Å, b = 9.699 Å, c = 6.288 Å, α = 90.00°, β = 90.00° and γ = 90.00°. The asymmetric unit holds Sm at (0.000, 0.250, 0.375), Co at (0.000, 0.250, 0.875), Co at (0.124, 0.044, 0.685) and Si at (0.000, 0.000, 0.000).

The raw formation energy is -0.30 eV per atom. The value obtained for the density of states at the Fermi level is 56.6 states/eV/cell.